(1)
A relaxed structure of Ca2Al2CdCu5, computed with PBE-GGA.

## Properties
Formation enthalpy at 0 K (eV per atom): -0.062
Magnetic moment (μB per formula unit): 0.00
Symmetry: P4/mbm (127)
E_tot (eV per cell): -67.01
Density of states at the Fermi level (states/eV/f.u.): 4.1

Cell: 3.4618 10.1980 10.1980 Å, 90.00 90.00 90.00°
Atoms (fractional coordinates):
Ca 0.0000 0.6782 0.1782
Ca 0.0000 0.3218 0.8218
Ca 0.0000 0.1782 0.3218
Ca 0.0000 0.8218 0.6782
Al 0.0000 0.1189 0.6189
Al 0.0000 0.8811 0.3811
Al 0.0000 0.6189 0.8811
Al 0.0000 0.3811 0.1189
Cd 0.0000 0.0000 0.0000
Cd 0.0000 0.5000 0.5000
Cu 0.5000 0.2080 0.0565
Cu 0.5000 0.7920 0.9435
Cu 0.5000 0.0565 0.7920
Cu 0.5000 0.7080 0.4435
Cu 0.5000 0.9435 0.2080
Cu 0.5000 0.2920 0.5565
Cu 0.5000 0.5565 0.7080
Cu 0.5000 0.4435 0.2920
Cu 0.5000 0.5000 0.0000
Cu 0.5000 0.0000 0.5000

---

(2)
A relaxed structure of Tc4TeOs, computed with PBE-GGA.

## Properties
Magnetic moment (μB per formula unit): 0.00
Symmetry: F-43m (216)
E_tot (eV per cell): -51.24
Uncorrected formation energy (eV/atom): 0.7656
Density of states at the Fermi level (states/eV/f.u.): 6.6

Cell: 5.1770 5.1770 5.1770 Å, 60.00 60.00 60.00°
Atoms (fractional coordinates):
Tc 0.8791 0.3736 0.3736
Tc 0.3736 0.3736 0.8791
Tc 0.3736 0.8791 0.3736
Tc 0.3736 0.3736 0.3736
Te 0.7500 0.7500 0.7500
Os 0.0000 0.0000 0.0000

---

(3)
A relaxed structure of Cs3AcGe2O8, computed with PBE-GGA.

## Properties
Magnetic moment (μB per formula unit): 2.05
Symmetry: P-3m1 (164)
E_tot (eV per cell): -81.13
Uncorrected formation energy (eV/atom): -1.8258
Density of states at the Fermi level (states/eV/f.u.): 11.0

Cell: 6.4018 6.4018 8.6760 Å, 90.00 90.00 120.00°
Last column: magnetic moment on the atom in μB.
Atoms (fractional coordinates):
Cs 0.3333 0.6667 0.7259  0.00
Cs 0.6667 0.3333 0.2741  0.00
Cs 0.0000 0.0000 0.0000  0.00
Ac 0.0000 0.0000 0.5000  0.01
Ge 0.3333 0.6667 0.2697  -0.02
Ge 0.6667 0.3333 0.7303  -0.02
O 0.3333 0.6667 0.0638  0.46
O 0.6667 0.3333 0.9362  0.46
O 0.1804 0.8196 0.3301  0.13
O 0.8196 0.1804 0.6699  0.13
O 0.1804 0.3608 0.3301  0.13
O 0.8196 0.6392 0.6699  0.13
O 0.6392 0.8196 0.3301  0.13
O 0.3608 0.1804 0.6699  0.13

---

(4)
A relaxed structure of CeErAu2, computed with PBE-GGA.

## Properties
Formation enthalpy at 0 K (eV per atom): -0.609
Magnetic moment (μB per formula unit): 1.41
Symmetry: R-3m (166)
E_tot (eV per cell): -19.49
Density of states at the Fermi level (states/eV/f.u.): 10.0

Cell: 4.3584 4.3584 7.0499 Å, 71.99 71.99 60.00°
Last column: magnetic moment on the atom in μB.
Atoms (fractional coordinates):
Au 0.7436 0.7436 0.7692  0.03
Au 0.2564 0.2564 0.2308  0.03
Ce 0.5000 0.5000 0.5000  0.95
Er 0.0000 0.0000 0.0000  0.13

---

(5)
A relaxed structure of CdH, computed with PBE-GGA.

## Properties
Excess energy over the best structure of this formula in the dataset (meV per atom): 96
Magnetic moment (μB per formula unit): 0.00
Symmetry: P2_12_12_1 (19)
E_tot (eV per cell): -30.47
Density of states at the Fermi level (states/eV/f.u.): 0.2

Cell: 5.7394 5.2062 9.4677 Å, 90.00 90.00 90.00°
Atoms (fractional coordinates):
Cd 0.5766 0.5566 0.1877
Cd 0.0766 0.9434 0.8123
Cd 0.4234 0.0566 0.3123
Cd 0.9234 0.4434 0.6877
Cd 0.3524 0.4707 0.8359
Cd 0.8524 0.0293 0.1641
Cd 0.6476 0.9707 0.6641
Cd 0.1476 0.5293 0.3359
H 0.5419 0.4921 0.9915
H 0.0419 0.0079 0.0085
H 0.4581 0.9921 0.5085
H 0.9581 0.5079 0.4915
H 0.3985 0.0792 0.8060
H 0.8985 0.4208 0.1940
H 0.6015 0.5792 0.6940
H 0.1015 0.9208 0.3060

---

(6)
A relaxed structure of Dy8Ho3Sc4, computed with PBE-GGA.

## Properties
Formation enthalpy at 0 K (eV per atom): 0.386
Magnetic moment (μB per formula unit): 0.54
Symmetry: C2/m (12)
E_tot (eV per cell): -70.08
Density of states at the Fermi level (states/eV/f.u.): 24.7

Cell: 6.5843 9.1232 9.1232 Å, 80.74 114.22 114.22°
Last column: magnetic moment on the atom in μB.
Atoms (fractional coordinates):
Dy 0.7587 0.2973 0.2973  0.01
Dy 0.0000 0.7044 0.2956  0.01
Dy 0.1632 0.2335 0.2335  -0.05
Dy 0.5000 0.7608 0.2392  0.14
Dy 0.5000 0.2392 0.7608  0.14
Dy 0.8368 0.7665 0.7665  -0.05
Dy 0.0000 0.2956 0.7044  0.01
Dy 0.2413 0.7027 0.7027  0.01
Ho 0.5000 0.5000 0.0000  0.01
Ho 0.5000 0.0000 0.5000  0.01
Ho 0.5000 0.5000 0.5000  0.03
Sc 0.5000 0.0000 0.0000  0.28
Sc 0.0000 0.5000 0.0000  0.02
Sc 0.0000 0.0000 0.0000  -0.11
Sc 0.0000 0.0000 0.5000  0.02

---

(7)
A relaxed structure of LiIF2, computed with PBE-GGA.

## Properties
Excess energy over the best structure of this formula in the dataset (meV per atom): 416
Magnetic moment (μB per formula unit): 1.24
Symmetry: R-3m (166)
E_tot (eV per cell): -12.19
Uncorrected formation energy (eV/atom): -1.2456
Density of states at the Fermi level (states/eV/f.u.): 1.0

Cell: 7.8636 7.8636 7.8636 Å, 25.12 25.12 25.12°
Last column: magnetic moment on the atom in μB.
Atoms (fractional coordinates):
I 0.5000 0.5000 0.5000  0.66
Li 0.0000 0.0000 0.0000  0.01
F 0.9248 0.9248 0.9248  0.15
F 0.0752 0.0752 0.0752  0.15

---

(8)
A relaxed structure of LiAcDyRu, computed with PBE-GGA.

## Properties
Formation enthalpy at 0 K (eV per atom): -0.114
Magnetic moment (μB per formula unit): 0.00
Symmetry: F-43m (216)
E_tot (eV per cell): -20.36
Density of states at the Fermi level (states/eV/f.u.): 2.7

Cell: 5.1298 5.1298 5.1298 Å, 60.00 60.00 60.00°
Atoms (fractional coordinates):
Ru 0.7500 0.7500 0.7500
Ac 0.0000 0.0000 0.0000
Li 0.2500 0.2500 0.2500
Dy 0.5000 0.5000 0.5000

---

(9)
A relaxed structure of Be2SiRh2, computed with PBE-GGA.

## Properties
Excess energy over the best structure of this formula in the dataset (meV per atom): 0
Magnetic moment (μB per formula unit): 0.00
Symmetry: I4/mmm (139)
E_tot (eV per cell): -30.18
Uncorrected formation energy (eV/atom): -0.5205
Density of states at the Fermi level (states/eV/f.u.): 0.1

Cell: 2.9545 2.9545 6.8737 Å, 77.59 77.59 90.00°
Atoms (fractional coordinates):
Be 0.7500 0.2500 0.5000
Be 0.2500 0.7500 0.5000
Si 0.0000 0.0000 0.0000
Rh 0.3923 0.3923 0.2153
Rh 0.6077 0.6077 0.7847

---

(10)
A relaxed structure of Tm8Ga3Sn2, computed with PBE-GGA.

## Properties
Formation enthalpy at 0 K (eV per atom): -0.401
Magnetic moment (μB per formula unit): 0.00
Symmetry: Cmmm (65)
E_tot (eV per cell): -58.07
Density of states at the Fermi level (states/eV/f.u.): 10.8

Cell: 4.9875 9.9889 8.7240 Å, 124.92 89.99 90.00°
Atoms (fractional coordinates):
Tm 0.0001 0.6167 0.2334
Tm 0.9999 0.3833 0.7666
Tm 0.9999 0.1211 0.2422
Tm 0.0001 0.8789 0.7578
Tm 0.5001 0.6324 0.7643
Tm 0.5001 0.1319 0.7643
Tm 0.4999 0.8681 0.2357
Tm 0.4999 0.3676 0.2357
Ga 0.5000 0.0000 0.0000
Ga 0.0000 0.2587 0.0000
Ga 0.0000 0.7413 0.0000
Sn 0.4999 0.2551 0.5102
Sn 0.5001 0.7449 0.4898

---

(11)
A relaxed structure of SrPm5Se6, computed with PBE-GGA.

## Properties
Magnetic moment (μB per formula unit): 0.00
Symmetry: C2/m (12)
E_tot (eV per cell): -68.59
Uncorrected formation energy (eV/atom): -1.8541
Density of states at the Fermi level (states/eV/f.u.): 5.4

Cell: 7.3445 7.3030 7.3182 Å, 60.07 80.46 70.60°
Atoms (fractional coordinates):
Sr 0.0000 0.0000 0.0000
Se 0.7456 0.0849 0.3370
Se 0.2544 0.5781 0.3370
Se 0.2493 0.2541 0.0000
Se 0.7507 0.7459 0.0000
Se 0.7456 0.4219 0.6630
Se 0.2544 0.9151 0.6630
Pm 0.5000 0.1641 0.6718
Pm 0.0000 0.3326 0.3348
Pm 0.5000 0.5000 0.0000
Pm 0.0000 0.6674 0.6652
Pm 0.5000 0.8359 0.3282

---

(12)
A relaxed structure of InFeRe, computed with PBE-GGA.

## Properties
Formation enthalpy at 0 K (eV per atom): 0.400
Magnetic moment (μB per formula unit): 1.64
Symmetry: P3m1 (156)
E_tot (eV per cell): -22.45
Density of states at the Fermi level (states/eV/f.u.): 1.9

Cell: 2.8591 2.8591 6.6603 Å, 90.00 90.00 120.00°
Last column: magnetic moment on the atom in μB.
Atoms (fractional coordinates):
Fe 0.0000 0.0000 0.9824  1.82
In 0.6667 0.3333 0.3222  -0.01
Re 0.3333 0.6667 0.6953  -0.17

---

(13)
A relaxed structure of K2LiY, computed with PBE-GGA.

## Properties
Formation enthalpy at 0 K (eV per atom): 0.568
Magnetic moment (μB per formula unit): 0.48
Symmetry: F-43m (216)
E_tot (eV per cell): -8.30
Density of states at the Fermi level (states/eV/f.u.): 6.1

Cell: 6.2755 6.2755 6.2755 Å, 60.00 60.00 60.00°
Last column: magnetic moment on the atom in μB.
Atoms (fractional coordinates):
K 0.0000 0.0000 0.0000  0.01
K 0.2500 0.2500 0.2500  0.01
Li 0.5000 0.5000 0.5000  0.01
Y 0.7500 0.7500 0.7500  0.17

---

(14)
A relaxed structure of H3SeI, computed with PBE-GGA.

## Properties
Excess energy over the best structure of this formula in the dataset (meV per atom): 1
Magnetic moment (μB per formula unit): 0.00
Symmetry: Pmn2_1 (31)
E_tot (eV per cell): -30.58
Density of states at the Fermi level (states/eV/f.u.): 0.0

Cell: 7.9516 5.3663 5.7295 Å, 90.00 90.00 90.00°
Atoms (fractional coordinates):
H 0.7588 0.6860 0.2008
H 0.0793 0.3980 0.8953
H 0.5680 0.8980 0.3953
H 0.8884 0.1860 0.7008
H 0.5680 0.8981 0.0062
H 0.0792 0.3981 0.5062
Se 0.0844 0.1966 0.7008
Se 0.5628 0.6966 0.2008
I 0.5921 0.1994 0.7008
I 0.0551 0.6994 0.2008

---

(15)
A relaxed structure of Tm4Zn, computed with PBE-GGA.

## Properties
Formation enthalpy at 0 K (eV per atom): 0.225
Excess energy over the best structure of this formula in the dataset (meV per atom): 201
Magnetic moment (μB per formula unit): 0.00
Symmetry: Pm-3m (221)
E_tot (eV per cell): -18.04
Density of states at the Fermi level (states/eV/f.u.): 7.2

Cell: 5.3776 5.3776 5.3776 Å, 90.00 90.00 90.00°
Atoms (fractional coordinates):
Zn 0.5000 0.5000 0.5000
Tm 0.0000 0.0000 0.0000
Tm 0.5000 0.0000 0.5000
Tm 0.0000 0.5000 0.5000
Tm 0.5000 0.5000 0.0000

---

(16)
A relaxed structure of RbPdBr, computed with PBE-GGA.

## Properties
Excess energy over the best structure of this formula in the dataset (meV per atom): 10
Magnetic moment (μB per formula unit): 0.00
Symmetry: Imm2 (44)
E_tot (eV per cell): -19.93
Uncorrected formation energy (eV/atom): -0.7106
Density of states at the Fermi level (states/eV/f.u.): 0.0

Cell: 9.8384 5.6578 6.7986 Å, 65.41 43.65 90.00°
Atoms (fractional coordinates):
Br 0.5095 0.5095 0.9810
Br 0.0645 0.5645 0.8710
Rb 0.2840 0.0317 0.9365
Rb 0.7794 0.0317 0.9365
Pd 0.7870 0.0370 0.4261
Pd 0.7870 0.5369 0.4261

---

(17)
A relaxed structure of GaCuAg3, computed with PBE-GGA.

## Properties
Formation enthalpy at 0 K (eV per atom): 0.709
Excess energy over the best structure of this formula in the dataset (meV per atom): 145
Magnetic moment (μB per formula unit): 0.00
Symmetry: Pm-3m (221)
E_tot (eV per cell): -12.13
Density of states at the Fermi level (states/eV/f.u.): 1.9

Cell: 4.8351 4.8351 4.8351 Å, 90.00 90.00 90.00°
Atoms (fractional coordinates):
Cu 0.5000 0.5000 0.5000
Ga 0.0000 0.0000 0.0000
Ag 0.0000 0.5000 0.0000
Ag 0.0000 0.0000 0.5000
Ag 0.5000 0.0000 0.0000

---

(18)
A relaxed structure of CdSbRu2, computed with PBE-GGA.

## Properties
Magnetic moment (μB per formula unit): 0.52
Symmetry: R-3m (166)
E_tot (eV per cell): -22.44
Uncorrected formation energy (eV/atom): 0.2872
Density of states at the Fermi level (states/eV/f.u.): 4.8

Cell: 8.5862 8.5862 8.5862 Å, 20.96 20.96 20.96°
Last column: magnetic moment on the atom in μB.
Atoms (fractional coordinates):
Cd 0.7500 0.7500 0.7500  0.00
Ru 0.9939 0.9939 0.9939  0.25
Ru 0.5061 0.5061 0.5061  0.25
Sb 0.2500 0.2500 0.2500  -0.01

---

(19)
A relaxed structure of Pr2TmTh, computed with PBE-GGA.

## Properties
Formation enthalpy at 0 K (eV per atom): 0.033
Excess energy over the best structure of this formula in the dataset (meV per atom): 0
Magnetic moment (μB per formula unit): 0.00
Symmetry: P4mm (99)
E_tot (eV per cell): -21.32
Density of states at the Fermi level (states/eV/f.u.): 5.1

Cell: 3.6223 3.6223 10.2786 Å, 90.00 90.00 90.01°
Atoms (fractional coordinates):
Pr 0.0000 0.0000 0.0127
Pr 0.5000 0.5000 0.7410
Tm 0.0000 0.0000 0.4890
Th 0.5000 0.5000 0.2572

---

(20)
A relaxed structure of HfTlHgI6, computed with PBE-GGA.

## Properties
Magnetic moment (μB per formula unit): 0.00
Symmetry: P-31c (163)
E_tot (eV per cell): -54.93
Uncorrected formation energy (eV/atom): -0.6160
Density of states at the Fermi level (states/eV/f.u.): 4.7

Cell: 8.2042 8.2042 13.6231 Å, 90.00 90.00 120.00°
Atoms (fractional coordinates):
Hf 0.6667 0.3333 0.2500
Hf 0.3333 0.6667 0.7500
Tl 0.3333 0.6667 0.2500
Tl 0.6667 0.3333 0.7500
Hg 0.0000 0.0000 0.0000
Hg 0.0000 0.0000 0.5000
I 0.6740 0.6201 0.1272
I 0.9460 0.3260 0.1272
I 0.3260 0.9460 0.6272
I 0.0540 0.6740 0.8728
I 0.3799 0.3260 0.3728
I 0.9460 0.6201 0.3728
I 0.6201 0.9460 0.8728
I 0.6740 0.0540 0.3728
I 0.0540 0.3799 0.6272
I 0.3799 0.0540 0.1272
I 0.6201 0.6740 0.6272
I 0.3260 0.3799 0.8728